The following is a SCAN calculation of a PBEsol-optimized structure of Cr2BTeN, from the Alexandria database.

* symmetry: No. 123
* ΔE_f (raw): 2.084 eV/atom
* D(E_F): 2.4 states/eV/cell
* crystal system: tetragonal

a b c (Å): 5.129 5.129 4.299
angles (deg): 90.00 90.00 90.00
Positions (direct):
Cr 0.000 0.500 0.000
Cr 0.500 0.000 0.000
B 0.000 0.000 0.500
Te 0.000 0.000 0.000
N 0.500 0.500 0.500



The following is a SCAN calculation of a PBEsol-optimized structure of Na3CrB, from the Alexandria database.

* formation energy from the elements: 0.99 eV/atom
* symmetry: No. 221
* D(E_F): 1.3 states/eV/cell
* crystal system: cubic
* energy relative to the lowest polymorph listed for this composition: 0 meV/atom

a b c (Å): 5.044 5.044 5.044
angles (deg): 90.00 90.00 90.00
Positions (direct):
Na 0.000 0.000 0.500
Na 0.000 0.500 0.000
Na 0.500 0.000 0.000
Cr 0.500 0.500 0.500
B 0.000 0.000 0.000



The following is a SCAN calculation of a PBEsol-optimized structure of Na2Cr2B, from the Alexandria database.

* formation energy from the elements: 1.32 eV/atom
* symmetry: No. 139
* D(E_F): 4.0 states/eV/cell
* crystal system: tetragonal

a b c (Å): 9.742 9.742 9.742
angles (deg): 162.10 162.10 25.43
Positions (direct):
Na 0.096 0.096 0.000
Na 0.904 0.904 0.000
Cr 0.250 0.750 0.500
Cr 0.750 0.250 0.500
B 0.500 0.500 0.000



The following is a SCAN calculation of a PBEsol-optimized structure of Na3CrB, from the Alexandria database.

* formation energy from the elements: 1.56 eV/atom
* symmetry: No. 221
* D(E_F): 3.4 states/eV/cell
* crystal system: cubic
* energy relative to the lowest polymorph listed for this composition: 567 meV/atom

a b c (Å): 5.512 5.512 5.512
angles (deg): 90.00 90.00 90.00
Positions (direct):
Na 0.000 0.000 0.500
Na 0.000 0.500 0.000
Na 0.500 0.000 0.000
Cr 0.000 0.000 0.000
B 0.500 0.500 0.500



The following is a SCAN calculation of a PBEsol-optimized structure of Na3CrB2O6, from the Alexandria database.

* symmetry: No. 14
* ΔE_f (raw): -2.395 eV/atom
* D(E_F): 0.0 states/eV/cell
* crystal system: monoclinic

a b c (Å): 5.469 9.044 11.190
angles (deg): 90.00 115.31 90.00
Positions (direct):
Na 0.021 0.065 0.386
Na 0.021 0.435 0.886
Na 0.044 0.123 0.873
Na 0.044 0.377 0.373
Na 0.466 0.551 0.631
Na 0.466 0.949 0.131
Na 0.534 0.051 0.869
Na 0.534 0.449 0.369
Na 0.956 0.623 0.627
Na 0.956 0.877 0.127
Na 0.979 0.565 0.114
Na 0.979 0.935 0.614
Cr 0.464 0.719 0.880
Cr 0.464 0.781 0.380
Cr 0.536 0.219 0.620
Cr 0.536 0.281 0.120
B 0.036 0.704 0.384
B 0.036 0.796 0.884
B 0.463 0.635 0.136
B 0.463 0.865 0.636
B 0.537 0.135 0.364
B 0.537 0.365 0.864
B 0.964 0.204 0.116
B 0.964 0.296 0.616
O 0.097 0.658 0.851
O 0.097 0.842 0.351
O 0.188 0.170 0.095
O 0.188 0.330 0.595
O 0.240 0.602 0.399
O 0.240 0.898 0.899
O 0.332 0.732 0.188
O 0.332 0.768 0.688
O 0.390 0.198 0.425
O 0.390 0.302 0.925
O 0.420 0.015 0.643
O 0.420 0.485 0.143
O 0.580 0.515 0.857
O 0.580 0.985 0.357
O 0.610 0.698 0.075
O 0.610 0.802 0.575
O 0.668 0.232 0.312
O 0.668 0.268 0.812
O 0.760 0.102 0.101
O 0.760 0.398 0.601
O 0.812 0.670 0.405
O 0.812 0.830 0.905
O 0.903 0.158 0.649
O 0.903 0.342 0.149



The following is a SCAN calculation of a PBEsol-optimized structure of Na3CrBPO7, from the Alexandria database.

* symmetry: No. 11
* ΔE_f (raw): -2.482 eV/atom
* D(E_F): 0.0 states/eV/cell
* crystal system: monoclinic

a b c (Å): 5.206 6.449 8.848
angles (deg): 90.00 91.77 90.00
Positions (direct):
Na 0.238 0.250 0.072
Na 0.249 0.505 0.742
Na 0.249 0.995 0.742
Na 0.751 0.005 0.258
Na 0.751 0.495 0.258
Na 0.762 0.750 0.928
Cr 0.222 0.750 0.335
Cr 0.778 0.250 0.665
B 0.274 0.750 0.069
B 0.726 0.250 0.931
P 0.281 0.250 0.422
P 0.719 0.750 0.578
O 0.037 0.750 0.140
O 0.121 0.250 0.566
O 0.215 0.060 0.320
O 0.215 0.440 0.320
O 0.305 0.750 0.919
O 0.428 0.750 0.534
O 0.474 0.750 0.178
O 0.526 0.250 0.822
O 0.572 0.250 0.466
O 0.695 0.250 0.081
O 0.785 0.560 0.680
O 0.785 0.940 0.680
O 0.879 0.750 0.434
O 0.963 0.250 0.860



The following is a SCAN calculation of a PBEsol-optimized structure of NaCrB2Te, from the Alexandria database.

* symmetry: No. 123
* ΔE_f (raw): 1.633 eV/atom
* D(E_F): 2.2 states/eV/cell
* crystal system: tetragonal

a b c (Å): 4.590 4.590 4.970
angles (deg): 90.00 90.00 90.00
Positions (direct):
Na 0.000 0.000 0.000
Cr 0.500 0.500 0.000
B 0.000 0.500 0.500
B 0.500 0.000 0.500
Te 0.500 0.500 0.500



The following is a SCAN calculation of a PBEsol-optimized structure of Nb5CrB4Ru10, from the Alexandria database.

* formation energy from the elements: -0.51 eV/atom
* symmetry: No. 83
* D(E_F): 6.7 states/eV/cell
* crystal system: tetragonal

a b c (Å): 9.311 9.311 2.954
angles (deg): 90.00 90.00 90.00
Positions (direct):
Nb 0.000 0.000 0.000
Nb 0.179 0.675 0.000
Nb 0.325 0.179 0.000
Nb 0.675 0.821 0.000
Nb 0.821 0.325 0.000
Cr 0.500 0.500 0.000
B 0.126 0.381 0.000
B 0.381 0.874 0.000
B 0.619 0.126 0.000
B 0.874 0.619 0.000
Ru 0.000 0.500 0.500
Ru 0.073 0.220 0.500
Ru 0.220 0.927 0.500
Ru 0.287 0.433 0.500
Ru 0.433 0.713 0.500
Ru 0.500 0.000 0.500
Ru 0.567 0.287 0.500
Ru 0.713 0.567 0.500
Ru 0.780 0.073 0.500
Ru 0.927 0.780 0.500



The following is a SCAN calculation of a PBEsol-optimized structure of Cr3NiB6, from the Alexandria database.

* formation energy from the elements: -0.37 eV/atom
* symmetry: No. 38
* D(E_F): 3.5 states/eV/cell
* crystal system: orthorhombic

a b c (Å): 2.950 8.993 8.993
angles (deg): 18.57 90.00 90.00
Positions (direct):
Cr 0.000 0.000 0.000
Cr 0.000 0.276 0.276
Cr 0.500 0.132 0.132
Ni 0.500 0.406 0.406
B 0.000 0.582 0.582
B 0.000 0.679 0.679
B 0.000 0.879 0.879
B 0.500 0.528 0.528
B 0.500 0.728 0.728
B 0.500 0.825 0.825



The following is a SCAN calculation of a PBEsol-optimized structure of Cr2NiBS, from the Alexandria database.

* symmetry: No. 123
* ΔE_f (raw): 1.004 eV/atom
* D(E_F): 3.4 states/eV/cell
* crystal system: tetragonal

a b c (Å): 4.147 4.147 3.648
angles (deg): 90.00 90.00 90.00
Positions (direct):
Cr 0.000 0.500 0.000
Cr 0.500 0.000 0.000
Ni 0.000 0.000 0.500
B 0.500 0.500 0.500
S 0.500 0.500 0.000



The following is a SCAN calculation of a PBEsol-optimized structure of CrBPO2, from the Alexandria database.

* symmetry: No. 123
* ΔE_f (raw): -0.359 eV/atom
* D(E_F): 2.4 states/eV/cell
* crystal system: tetragonal

a b c (Å): 3.109 3.109 6.424
angles (deg): 90.00 90.00 90.00
Positions (direct):
Cr 0.000 0.000 0.000
B 0.500 0.500 0.500
P 0.500 0.500 0.000
O 0.000 0.500 0.500
O 0.500 0.000 0.500



The following is a SCAN calculation of a PBEsol-optimized structure of Cr12BP3, from the Alexandria database.

* formation energy from the elements: -0.28 eV/atom
* symmetry: No. 1
* D(E_F): 12.3 states/eV/cell
* crystal system: triclinic

a b c (Å): 4.399 6.592 6.661
angles (deg): 85.64 71.01 71.14
Positions (direct):
Cr 0.000 0.000 0.000
Cr 0.001 0.755 0.703
Cr 0.046 0.991 0.376
Cr 0.074 0.366 0.453
Cr 0.160 0.574 0.086
Cr 0.348 0.217 0.033
Cr 0.369 0.051 0.671
Cr 0.419 0.433 0.649
Cr 0.566 0.778 0.108
Cr 0.668 0.718 0.426
Cr 0.692 0.379 0.233
Cr 0.853 0.410 0.880
B 0.238 0.643 0.379
P 0.479 0.715 0.800
P 0.546 0.068 0.306
P 0.804 0.135 0.717



The following is a SCAN calculation of a PBEsol-optimized structure of Cr2SiBP, from the Alexandria database.

* symmetry: No. 123
* ΔE_f (raw): 0.871 eV/atom
* D(E_F): 1.7 states/eV/cell
* crystal system: tetragonal

a b c (Å): 4.580 4.580 3.642
angles (deg): 90.00 90.00 90.00
Positions (direct):
Cr 0.000 0.500 0.000
Cr 0.500 0.000 0.000
Si 0.000 0.000 0.000
B 0.000 0.000 0.500
P 0.500 0.500 0.500



The following is a SCAN calculation of a PBEsol-optimized structure of CrTcB2Pd, from the Alexandria database.

* formation energy from the elements: 1.37 eV/atom
* symmetry: No. 123
* D(E_F): 2.3 states/eV/cell
* crystal system: tetragonal

a b c (Å): 3.845 3.845 4.403
angles (deg): 90.00 90.00 90.00
Positions (direct):
Cr 0.000 0.000 0.000
Tc 0.500 0.500 0.500
B 0.000 0.500 0.000
B 0.500 0.000 0.000
Pd 0.000 0.000 0.500



The following is a SCAN calculation of a PBEsol-optimized structure of CrBPt2, from the Alexandria database.

* formation energy from the elements: -0.25 eV/atom
* symmetry: No. 122
* D(E_F): 5.5 states/eV/cell
* crystal system: tetragonal

a b c (Å): 5.300 5.300 5.300
angles (deg): 102.88 102.88 123.65
Positions (direct):
Cr 0.000 0.000 0.000
Cr 0.750 0.250 0.500
B 0.250 0.750 0.500
B 0.500 0.500 0.000
Pt 0.216 0.625 0.091
Pt 0.375 0.466 0.591
Pt 0.534 0.125 0.909
Pt 0.875 0.784 0.409



The following is a SCAN calculation of a PBEsol-optimized structure of CrB2Pt, from the Alexandria database.

* formation energy from the elements: 0.22 eV/atom
* symmetry: No. 225
* D(E_F): 4.4 states/eV/cell
* crystal system: cubic

a b c (Å): 3.769 3.769 3.769
angles (deg): 60.00 60.00 60.00
Positions (direct):
Cr 0.000 0.000 0.000
B 0.250 0.250 0.250
B 0.750 0.750 0.750
Pt 0.500 0.500 0.500



The following is a SCAN calculation of a PBEsol-optimized structure of Cr2BPtSe, from the Alexandria database.

* symmetry: No. 123
* ΔE_f (raw): 0.381 eV/atom
* D(E_F): 2.8 states/eV/cell
* crystal system: tetragonal

a b c (Å): 4.925 4.925 3.900
angles (deg): 90.00 90.00 90.00
Positions (direct):
Cr 0.000 0.500 0.000
Cr 0.500 0.000 0.000
B 0.000 0.000 0.500
Pt 0.000 0.000 0.000
Se 0.500 0.500 0.500



The following is a SCAN calculation of a PBEsol-optimized structure of RbCrB2, from the Alexandria database.

* formation energy from the elements: 2.05 eV/atom
* symmetry: No. 225
* D(E_F): 2.3 states/eV/cell
* crystal system: cubic

a b c (Å): 4.471 4.471 4.471
angles (deg): 60.00 60.00 60.00
Positions (direct):
Rb 0.000 0.000 0.000
Cr 0.500 0.500 0.500
B 0.250 0.250 0.250
B 0.750 0.750 0.750



The following is a SCAN calculation of a PBEsol-optimized structure of RbCr3B, from the Alexandria database.

* formation energy from the elements: 0.86 eV/atom
* symmetry: No. 221
* D(E_F): 2.3 states/eV/cell
* crystal system: cubic

a b c (Å): 4.455 4.455 4.455
angles (deg): 90.00 90.00 90.00
Positions (direct):
Rb 0.000 0.000 0.000
Cr 0.000 0.500 0.500
Cr 0.500 0.000 0.500
Cr 0.500 0.500 0.000
B 0.500 0.500 0.500



The following is a SCAN calculation of a PBEsol-optimized structure of Cr3B12Rh25, from the Alexandria database.

* formation energy from the elements: -0.33 eV/atom
* symmetry: No. 1
* D(E_F): 37.1 states/eV/cell
* crystal system: triclinic

a b c (Å): 4.730 7.390 12.813
angles (deg): 90.09 90.24 90.07
Positions (direct):
Cr 0.000 0.000 0.000
Cr 0.002 0.176 0.824
Cr 0.006 0.683 0.317
B 0.219 0.182 0.466
B 0.226 0.685 0.966
B 0.226 0.967 0.682
B 0.227 0.469 0.182
B 0.228 0.397 0.683
B 0.228 0.898 0.180
B 0.710 0.902 0.367
B 0.711 0.959 0.867
B 0.713 0.183 0.090
B 0.713 0.403 0.868
B 0.713 0.461 0.368
B 0.720 0.681 0.588
Rh 0.297 0.876 0.841
Rh 0.305 0.493 0.840
Rh 0.306 0.181 0.150
Rh 0.306 0.994 0.337
Rh 0.307 0.370 0.338
Rh 0.318 0.683 0.654
Rh 0.475 0.996 0.548
Rh 0.476 0.368 0.549
Rh 0.477 0.681 0.443
Rh 0.479 0.497 0.048
Rh 0.482 0.181 0.943
Rh 0.494 0.875 0.046
Rh 0.495 0.182 0.739
Rh 0.498 0.684 0.237
Rh 0.815 0.181 0.399
Rh 0.817 0.687 0.902
Rh 0.820 0.375 0.215
Rh 0.820 0.875 0.714
Rh 0.821 0.991 0.211
Rh 0.823 0.490 0.716
Rh 0.971 0.863 0.498
Rh 0.973 0.501 0.498
Rh 0.974 0.352 0.999
Rh 0.991 0.182 0.612
Rh 0.996 0.685 0.110